Material: FeTc2Os
Method: DFT, GGA-PBE
State: optimized geometry

Calculated values
- Formation energy from the elements: 0.32 eV per atom
- Offset from the most stable computed form: 246 meV/atom

extended XYZ file:
```
4
Lattice="-0.930 0.182 -2.478 2.629 -0.322 0.157 -1.062 -8.779 -0.247" Properties=species:S:1:pos:R:3 pbc="T T T"
Os 0.061 -6.590 -1.344
Fe -0.530 -4.385 -0.123
Tc -0.002 -0.015 0.000
Tc 0.577 -2.318 -1.224
```

=====

Material: K2BaVN
Method: DFT, GGA-PBE
State: optimized geometry

Calculated values
- Total energy: -0.141 Ha/atom

extended XYZ file:
```
5
Lattice="-0.935 -4.589 -4.683 3.686 -1.022 0.265 -1.565 -4.437 4.661" Properties=species:S:1:pos:R:3 pbc="T T T"
V 1.843 -0.511 0.133
Ba 0.593 -5.024 0.122
K -0.468 -2.295 -2.341
K -0.783 -2.219 2.331
N 0.000 0.000 0.000
```

=====

Material: DyPu2ScS4
Method: DFT, GGA-PBE
State: optimized geometry

Calculated values
- Total energy: -0.326 Ha/atom

extended XYZ file:
```
8
Lattice="-2.501 2.803 0.902 -3.840 -1.755 -5.191 -1.925 -3.479 5.472" Properties=species:S:1:pos:R:3 pbc="T T T"
S -2.620 0.161 0.508
S -5.646 -2.593 0.675
Sc 0.000 0.000 0.000
Pu -2.213 -0.338 3.187
Dy -3.171 0.524 -2.144
S -3.362 -2.165 -2.595
S -2.402 -3.070 2.876
Pu -2.882 -2.617 0.140
```

=====

Material: Th5CSe5
Method: DFT, GGA-PBE
State: optimized geometry

Calculated values
- Total energy: -0.264 Ha/atom

extended XYZ file:
```
11
Lattice="5.833 0.000 0.000 -2.917 6.468 -0.117 0.000 -2.563 7.850" Properties=species:S:1:pos:R:3 pbc="T T T"
Th 2.917 0.000 0.000
Th 0.000 1.162 2.291
Th 2.917 2.743 5.443
Se 2.917 -0.074 6.290
Se 0.000 2.514 5.090
Se 2.917 1.390 2.643
Th 2.917 4.094 1.043
Se 0.000 3.978 1.444
Se 0.000 -1.282 3.925
C 0.000 0.000 0.000
Th 0.000 -0.189 6.691
```

=====

Material: Cs2PtAuI6
Method: DFT, GGA-PBE
State: optimized geometry

Calculated values
- Total energy: -0.100 Ha/atom

extended XYZ file:
```
10
Lattice="-6.061 1.288 -5.144 -5.223 -2.802 5.453 -6.337 4.882 2.386" Properties=species:S:1:pos:R:3 pbc="T T T"
I -2.837 -0.381 0.078
I -8.447 -1.133 0.231
Cs -8.601 0.662 3.996
Au 0.000 0.000 0.000
Cs -9.020 2.706 -1.302
Pt -5.642 -0.757 0.154
I -5.950 1.738 1.142
I -11.672 1.630 1.553
I -5.434 -1.773 2.789
I -5.851 0.260 -2.480
```

=====

Material: LiThGaOs
Method: DFT, GGA-PBE
State: optimized geometry

Calculated values
- Formation energy from the elements: -0.19 eV per atom

extended XYZ file:
```
4
Lattice="-2.128 3.201 -2.752 -4.498 1.203 0.816 -1.027 4.283 1.716" Properties=species:S:1:pos:R:3 pbc="T T T"
Ga -1.913 2.172 -0.055
Th -5.740 6.515 -0.165
Os 0.000 0.000 0.000
Li -3.827 4.343 -0.110
```

=====

Material: Ac3Nd7Hg4
Method: DFT, GGA-PBE
State: optimized geometry

Calculated values
- Formation energy from the elements: -0.23 eV per atom

extended XYZ file:
```
14
Lattice="5.026 0.000 1.268 1.879 9.404 3.146 0.117 -0.023 10.131" Properties=species:S:1:pos:R:3 pbc="T T T"
Hg 6.177 8.251 7.299
Nd 2.992 2.250 9.332
Hg 0.845 1.130 7.246
Ac 1.956 1.721 2.841
Nd 4.031 7.131 5.213
Ac 5.066 7.660 11.704
Nd 3.821 1.333 6.044
Ac 0.998 4.690 6.639
Hg 4.161 4.067 4.695
Nd 0.000 0.000 0.000
Nd 1.975 5.664 2.768
Nd 3.201 8.048 8.501
Hg 2.861 5.314 9.850
Nd 5.048 3.717 11.777
```

=====

Material: Ce3SmDy2S6
Method: DFT, GGA-PBE
State: optimized geometry

Calculated values
- Total energy: -0.248 Ha/atom

extended XYZ file:
```
12
Lattice="-2.380 -4.144 -4.950 6.710 1.492 0.312 -0.473 -4.301 5.425" Properties=species:S:1:pos:R:3 pbc="T T T"
S 3.095 -2.997 -2.137
S 1.349 -6.205 -0.256
S 0.761 -3.957 2.924
Ce 1.928 -3.477 0.394
Dy 3.681 -0.386 -1.441
S -0.572 -2.658 -0.739
Ce 4.976 -1.587 2.158
S 2.507 -0.749 1.043
Ce -1.120 -5.367 -1.371
Sm 0.000 0.000 0.000
S 4.428 -4.296 1.526
Dy 0.648 -2.266 -3.197
```

=====

Material: Pr3Sm2Te8
Method: DFT, GGA-PBE
State: optimized geometry

Calculated values
- Total energy: -0.185 Ha/atom

extended XYZ file:
```
13
Lattice="7.728 0.000 0.266 0.000 8.997 0.000 -2.830 -4.499 7.339" Properties=species:S:1:pos:R:3 pbc="T T T"
Pr 0.000 2.337 0.000
Te -1.531 4.499 5.548
Sm 3.734 4.499 3.827
Te 2.511 2.217 1.942
Pr 0.000 6.661 0.000
Te 2.387 2.282 5.664
Te 2.387 -2.282 5.664
Pr 3.864 0.000 0.133
Te -1.340 0.000 5.608
Te 6.429 0.000 2.058
Sm 1.164 0.000 3.778
Te 2.511 6.780 1.942
Te 6.239 4.499 1.998
```

=====

Material: Pm2Ho6Er
Method: DFT, GGA-PBE
State: optimized geometry

Calculated values
- Formation energy from the elements: 0.11 eV per atom
- Offset from the most stable computed form: 92 meV/atom

extended XYZ file:
```
18
Lattice="6.338 -0.362 1.601 2.047 9.329 0.411 -0.839 -1.293 9.434" Properties=species:S:1:pos:R:3 pbc="T T T"
Er 1.085 -0.134 8.773
Ho 2.344 4.144 1.115
Ho 1.074 0.034 2.411
Ho 3.247 2.136 7.766
Ho 4.299 5.538 3.680
Pm 1.511 4.860 6.763
Ho 3.193 7.981 5.903
Ho 7.499 5.942 5.179
Ho 2.782 5.902 9.865
Pm 2.722 2.466 4.332
Ho 4.353 -0.307 5.543
Er 6.461 7.808 2.673
Pm 6.035 2.814 4.683
Ho 0.047 1.732 6.266
Pm 4.824 5.208 7.113
Ho 5.202 3.530 10.330
Ho 4.764 1.771 1.581
Ho 6.472 7.640 9.035
```

=====

Material: LiCuGe2
Method: DFT, GGA-PBE
State: optimized geometry

Calculated values
- Formation energy from the elements: -0.07 eV per atom
- Offset from the most stable computed form: 0 meV/atom

extended XYZ file:
```
4
Lattice="-1.194 1.478 3.608 0.594 -2.180 3.394 4.003 1.787 2.897" Properties=species:S:1:pos:R:3 pbc="T T T"
Cu 3.468 1.255 7.547
Ge 0.605 0.153 2.442
Li 1.856 0.617 4.971
Ge 3.176 1.390 2.786
```

=====

Material: PrSm2Ho3S6
Method: DFT, GGA-PBE
State: optimized geometry

Calculated values
- Total energy: -0.235 Ha/atom

extended XYZ file:
```
12
Lattice="6.833 -0.011 -0.001 -3.424 5.913 -0.001 -1.138 -1.971 6.544" Properties=species:S:1:pos:R:3 pbc="T T T"
S 2.256 3.906 1.725
S 3.428 1.932 4.805
S 0.014 0.024 4.816
Ho 4.574 -0.021 3.270
Pr 0.000 0.000 0.000
Ho 1.135 1.965 3.270
S -0.039 3.935 4.805
Sm 3.411 1.965 -0.001
S 2.309 -0.004 1.736
S -1.158 1.998 1.736
Sm -0.002 3.936 -0.001
Ho -2.304 3.952 3.270
```